[1]
First-principles (PBE) data for an optimized crystal structure of Ho2ErAl3AgIr2, as listed in OQMD via LeMat-Bulk. Values from VASP.

```
&SYSTEM
  ibrav = 0, nat = 9, ntyp = 5
/
ATOMIC_SPECIES
Ho 164.93 Ho.upf
Er 167.26 Er.upf
Al 26.98 Al.upf
Ag 107.87 Ag.upf
Ir 192.22 Ir.upf
CELL_PARAMETERS angstrom
4.049 0.000 0.000
0.000 6.146 3.558
0.000 -6.146 3.558
ATOMIC_POSITIONS crystal
Ho 0.000 0.209 0.791
Ho 0.000 0.791 0.209
Er 0.000 0.372 0.372
Al 0.500 0.049 0.049
Al 0.500 0.532 0.791
Al 0.500 0.791 0.532
Ag 0.000 0.790 0.790
Ir 0.500 0.125 0.457
Ir 0.500 0.457 0.125
```

Its space group is Amm2, No. 38.

[2]
First-principles (PBE) data for an optimized crystal structure of ZrScCoGe2, as listed in OQMD via LeMat-Bulk. Values from VASP.

```
&SYSTEM
  ibrav = 0, nat = 10, ntyp = 4
/
ATOMIC_SPECIES
Zr 91.22 Zr.upf
Sc 44.96 Sc.upf
Co 58.93 Co.upf
Ge 72.64 Ge.upf
CELL_PARAMETERS angstrom
5.026 -1.996 0.000
5.026 1.996 0.000
-4.534 0.000 8.454
ATOMIC_POSITIONS crystal
Zr 0.183 0.183 0.099
Zr 0.817 0.817 0.901
Sc 0.001 0.001 0.329
Sc 0.999 0.999 0.671
Co 0.278 0.278 0.628
Co 0.722 0.722 0.372
Ge 0.353 0.353 0.426
Ge 0.483 0.483 0.128
Ge 0.517 0.517 0.872
Ge 0.647 0.647 0.574
```

Its space group is C2/m, No. 12.

[3]
First-principles (PBE) data for an optimized crystal structure of LuCd, as listed in OQMD via LeMat-Bulk. Values from VASP.

```
&SYSTEM
  ibrav = 0, nat = 2, ntyp = 2
/
ATOMIC_SPECIES
Lu 174.97 Lu.upf
Cd 112.41 Cd.upf
CELL_PARAMETERS angstrom
3.653 0.000 0.000
0.000 3.653 0.000
0.000 0.000 3.653
ATOMIC_POSITIONS crystal
Lu 0.000 0.000 0.000
Cd 0.500 0.500 0.500
```

Its space group is Pm-3m, No. 221.

[4]
First-principles (PBE) data for an optimized crystal structure of Ta4Co2N, as listed in OQMD via LeMat-Bulk. Values from VASP.

```
&SYSTEM
  ibrav = 0, nat = 28, ntyp = 3
/
ATOMIC_SPECIES
Ta 180.95 Ta.upf
Co 58.93 Co.upf
N 14.01 N.upf
CELL_PARAMETERS angstrom
0.000 5.796 5.796
5.796 0.000 5.796
5.796 5.796 0.000
ATOMIC_POSITIONS crystal
Ta 0.000 0.000 0.000
Ta 0.000 0.000 0.500
Ta 0.000 0.500 0.000
Ta 0.188 0.188 0.562
Ta 0.188 0.562 0.188
Ta 0.188 0.562 0.562
Ta 0.438 0.438 0.812
Ta 0.438 0.812 0.438
Ta 0.438 0.812 0.812
Ta 0.500 0.000 0.000
Ta 0.562 0.188 0.188
Ta 0.562 0.188 0.562
Ta 0.562 0.562 0.188
Ta 0.812 0.438 0.438
Ta 0.812 0.438 0.812
Ta 0.812 0.812 0.438
Co 0.125 0.792 0.792
Co 0.208 0.208 0.208
Co 0.208 0.208 0.875
Co 0.208 0.875 0.208
Co 0.792 0.125 0.792
Co 0.792 0.792 0.125
Co 0.792 0.792 0.792
Co 0.875 0.208 0.208
N 0.000 0.500 0.500
N 0.500 0.000 0.500
N 0.500 0.500 0.000
N 0.500 0.500 0.500
```

Its space group is Fd-3m, No. 227.

[5]
First-principles (PBE) data for an optimized crystal structure of Pr4Hg2O, as listed in OQMD via LeMat-Bulk. Values from VASP.

```
&SYSTEM
  ibrav = 0, nat = 7, ntyp = 3
/
ATOMIC_SPECIES
Pr 140.91 Pr.upf
Hg 200.59 Hg.upf
O 16.00 O.upf
CELL_PARAMETERS angstrom
5.191 -6.065 0.000
5.191 6.065 0.000
0.000 0.000 3.676
ATOMIC_POSITIONS crystal
Pr 0.162 0.162 0.500
Pr 0.223 0.777 0.000
Pr 0.777 0.223 0.000
Pr 0.838 0.838 0.500
Hg 0.000 0.500 0.500
Hg 0.500 0.000 0.500
O 0.000 0.000 0.000
```

Its space group is Cmmm, No. 65.

[6]
First-principles (PBE) data for an optimized crystal structure of AsPbAuO5, as listed in OQMD via LeMat-Bulk. Values from VASP.

```
&SYSTEM
  ibrav = 0, nat = 16, ntyp = 4
/
ATOMIC_SPECIES
As 74.92 As.upf
Pb 207.20 Pb.upf
Au 196.97 Au.upf
O 16.00 O.upf
CELL_PARAMETERS angstrom
6.630 -2.748 0.000
6.630 2.748 0.000
-3.386 0.000 6.492
ATOMIC_POSITIONS crystal
As 0.120 0.120 0.146
As 0.880 0.880 0.854
Pb 0.179 0.179 0.747
Pb 0.821 0.821 0.253
Au 0.432 0.432 0.622
Au 0.568 0.568 0.378
O 0.032 0.032 0.872
O 0.110 0.576 0.708
O 0.247 0.247 0.121
O 0.262 0.738 0.500
O 0.424 0.890 0.292
O 0.576 0.110 0.708
O 0.738 0.262 0.500
O 0.753 0.753 0.879
O 0.890 0.424 0.292
O 0.968 0.968 0.128
```

Its space group is C2/m, No. 12.

[7]
First-principles (PBE) data for an optimized crystal structure of LuZnRe2, as listed in OQMD via LeMat-Bulk. Values from VASP.

```
&SYSTEM
  ibrav = 0, nat = 4, ntyp = 3
/
ATOMIC_SPECIES
Lu 174.97 Lu.upf
Zn 65.41 Zn.upf
Re 186.21 Re.upf
CELL_PARAMETERS angstrom
0.000 3.207 3.207
3.207 0.000 3.207
3.207 3.207 0.000
ATOMIC_POSITIONS crystal
Lu 0.000 0.000 0.000
Zn 0.750 0.750 0.750
Re 0.250 0.250 0.250
Re 0.500 0.500 0.500
```

Its space group is F-43m, No. 216.

[8]
First-principles (PBE) data for an optimized crystal structure of Li4MgGa2Cu, as listed in OQMD via LeMat-Bulk. Values from VASP.

```
&SYSTEM
  ibrav = 0, nat = 8, ntyp = 4
/
ATOMIC_SPECIES
Li 6.94 Li.upf
Mg 24.30 Mg.upf
Ga 69.72 Ga.upf
Cu 63.55 Cu.upf
CELL_PARAMETERS angstrom
4.355 0.000 0.000
0.000 4.355 0.000
0.000 0.000 6.320
ATOMIC_POSITIONS crystal
Li 0.000 0.000 0.000
Li 0.000 0.500 0.721
Li 0.500 0.000 0.279
Li 0.500 0.500 0.500
Mg 0.500 0.500 0.000
Ga 0.000 0.500 0.278
Ga 0.500 0.000 0.722
Cu 0.000 0.000 0.500
```

Its space group is P-4m2, No. 115.

[9]
First-principles (PBE) data for an optimized crystal structure of Ta2I, as listed in OQMD via LeMat-Bulk. Values from VASP.

```
&SYSTEM
  ibrav = 0, nat = 6, ntyp = 2
/
ATOMIC_SPECIES
Ta 180.95 Ta.upf
I 126.90 I.upf
CELL_PARAMETERS angstrom
0.000 6.428 6.428
6.428 0.000 6.428
6.428 6.428 0.000
ATOMIC_POSITIONS crystal
Ta 0.000 0.000 0.000
Ta 0.000 0.000 0.500
Ta 0.000 0.500 0.000
Ta 0.500 0.000 0.000
I 0.125 0.125 0.125
I 0.875 0.875 0.875
```

Its space group is Fd-3m, No. 227.

[10]
First-principles (PBE) data for an optimized crystal structure of Mg2NiB6, as listed in OQMD via LeMat-Bulk. Values from VASP.

```
&SYSTEM
  ibrav = 0, nat = 36, ntyp = 3
/
ATOMIC_SPECIES
Mg 24.30 Mg.upf
Ni 58.69 Ni.upf
B 10.81 B.upf
CELL_PARAMETERS angstrom
8.772 0.000 0.000
0.000 11.078 0.000
0.000 0.000 3.307
ATOMIC_POSITIONS crystal
Mg 0.056 0.127 0.000
Mg 0.180 0.415 0.000
Mg 0.320 0.915 0.000
Mg 0.444 0.627 0.000
Mg 0.556 0.373 0.000
Mg 0.680 0.085 0.000
Mg 0.820 0.585 0.000
Mg 0.944 0.873 0.000
Ni 0.141 0.682 0.000
Ni 0.359 0.182 0.000
Ni 0.641 0.818 0.000
Ni 0.859 0.318 0.000
B 0.017 0.288 0.500
B 0.056 0.566 0.500
B 0.097 0.974 0.500
B 0.132 0.819 0.500
B 0.206 0.238 0.500
B 0.248 0.079 0.500
B 0.252 0.579 0.500
B 0.294 0.738 0.500
B 0.368 0.319 0.500
B 0.403 0.474 0.500
B 0.444 0.066 0.500
B 0.483 0.788 0.500
B 0.517 0.212 0.500
B 0.556 0.934 0.500
B 0.597 0.526 0.500
B 0.632 0.681 0.500
B 0.706 0.262 0.500
B 0.748 0.421 0.500
B 0.752 0.921 0.500
B 0.794 0.762 0.500
B 0.868 0.181 0.500
B 0.903 0.026 0.500
B 0.944 0.434 0.500
B 0.983 0.712 0.500
```

Its space group is Pbam, No. 55.

[11]
First-principles (PBE) data for an optimized crystal structure of BaPAuO, as listed in OQMD via LeMat-Bulk. Values from VASP.

```
&SYSTEM
  ibrav = 0, nat = 8, ntyp = 4
/
ATOMIC_SPECIES
Ba 137.33 Ba.upf
P 30.97 P.upf
Au 196.97 Au.upf
O 16.00 O.upf
CELL_PARAMETERS angstrom
4.896 0.000 0.000
0.000 4.432 0.000
0.000 0.000 7.651
ATOMIC_POSITIONS crystal
Ba 0.000 0.242 0.000
Ba 0.000 0.758 0.500
P 0.500 0.246 0.668
P 0.500 0.754 0.168
Au 0.500 0.259 0.335
Au 0.500 0.741 0.835
O 0.000 0.259 0.334
O 0.000 0.741 0.834
```

Its space group is Pmc2_1, No. 26.

[12]
First-principles (PBE) data for an optimized crystal structure of LiZnCoMo, as listed in OQMD via LeMat-Bulk. Values from VASP.

```
&SYSTEM
  ibrav = 0, nat = 4, ntyp = 4
/
ATOMIC_SPECIES
Li 6.94 Li.upf
Zn 65.41 Zn.upf
Co 58.93 Co.upf
Mo 95.94 Mo.upf
CELL_PARAMETERS angstrom
0.000 2.944 2.944
2.944 0.000 2.944
2.944 2.944 0.000
ATOMIC_POSITIONS crystal
Li 0.000 0.000 0.000
Zn 0.500 0.500 0.500
Co 0.250 0.250 0.250
Mo 0.750 0.750 0.750
```

Its space group is F-43m, No. 216.

Which uncorrected energy belongs to each record? In order, -5.78; -7.00; -3.02; -10.56; -4.32; -5.40; -7.53; -2.61; -4.54; -5.57; -4.72; -4.78 eV per atom.
Which volume belongs to each record? In order, 19.67; 16.96; 24.37; 13.91; 33.07; 14.78; 16.49; 14.99; 88.55; 8.93; 20.75; 12.76 Å³ per atom.